[1]
RbNbF4: relaxed, PBE-GGA.

a b c (Å): 5.0871 7.4876 7.4876
angles (deg): 57.18 112.07 112.07
Last column: nearest neighbours and their distance in Å.
Fractional coordinates of all 12 atoms:
F1 0.0000 0.2609 0.7391  2 Nb 2.14
F2 0.6688 0.4255 0.7748  2 Nb 2.19-2.29, 1 F 2.45
F3 0.3312 0.5745 0.2252  2 Nb 2.19-2.29, 1 F 2.45
F4 0.3491 0.6980 0.6979  1 Nb 2.01
F5 0.6687 0.7748 0.4255  2 Nb 2.19-2.29, 1 F 2.45
F6 0.0000 0.7391 0.2609  2 Nb 2.14
F7 0.6509 0.3020 0.3021  1 Nb 2.01
F8 0.3313 0.2252 0.5745  2 Nb 2.19-2.29, 1 F 2.45
Nb1 0.7224 0.4647 0.4647  5 F 2.01-2.19
Nb2 0.2776 0.5353 0.5353  5 F 2.01-2.19
Rb1 0.9837 0.8219 0.8219  8 F 2.84-2.97
Rb2 0.0163 0.1781 0.1781  8 F 2.84-2.97

Summary:
The calculated volume comes out at 217 Å³/cell. As for the uncorrected formation energy: -2.76 eV per atom. As for the space-group type: No. 12.

=====

[2]
CdNiCl2: relaxed, PBE-GGA.

a b c (Å): 3.1610 3.6933 8.6720
angles (deg): 89.70 90.00 90.00
Last column: nearest neighbours and their distance in Å.
Fractional coordinates of all 4 atoms:
Cl1 0.0000 0.2570 0.4258  2 Ni 2.20
Cl2 0.0000 0.2430 0.0742  2 Ni 2.20
Ni1 0.5000 0.2500 0.2500  4 Cl 2.20
Cd1 0.5000 0.7500 0.7500  2 Cd 3.16

Summary:
The calculated volume comes out at 101 Å³/cell. As for the uncorrected formation energy: -0.30 eV per atom. Its offset from the most stable computed form is 0.097 eV per atom. Its density of states at the Fermi level is 0.854 states/eV/atom. As for the space-group type: No. 10.